Here is a relaxed Ac2VTcO8 crystal from Alexandria via LeMat-Bulk. Energies are from GGA+U.

Lattice parameters (Å, degrees): 5.612 6.135 6.170 77.12 67.39 76.94
Positions (direct):
1 Ac 0.106 0.203 0.164
2 Ac 0.894 0.797 0.836
3 V 0.500 0.500 0.500
4 Tc 0.500 0.000 0.500
5 O 0.258 0.481 0.805
6 O 0.269 0.980 0.819
7 O 0.286 0.826 0.430
8 O 0.312 0.298 0.420
9 O 0.688 0.702 0.580
10 O 0.714 0.174 0.570
11 O 0.731 0.020 0.181
12 O 0.742 0.519 0.195

## Properties
**Crystal system**: triclinic
**VASP energy**: -0.5777 Ry per atom
**Symmetry**: No. 2